No. 1
Ca4InBi3 | GGA-PBE | relaxed

abc: 9.412 9.412 9.412
angles: 97.00 97.00 139.14
Atoms (fractional coordinates):
1 Ca 0.071 0.776 0.847
2 Ca 0.224 0.071 0.295
3 Ca 0.276 0.571 0.847
4 Ca 0.429 0.276 0.705
5 Ca 0.571 0.724 0.295
6 Ca 0.724 0.429 0.153
7 Ca 0.776 0.929 0.705
8 Ca 0.929 0.224 0.153
9 In 0.250 0.750 0.500
10 In 0.750 0.250 0.500
11 Bi 0.175 0.325 0.500
12 Bi 0.250 0.250 0.000
13 Bi 0.325 0.825 0.150
14 Bi 0.675 0.175 0.850
15 Bi 0.750 0.750 0.000
16 Bi 0.825 0.675 0.500

Values from the calculation:
formation energy from the elements	-0.653	eV per atom

=====

No. 2
Si3BiPt | GGA-PBE | relaxed

abc: 4.791 4.791 4.791
angles: 90.00 90.00 90.00
Atoms (fractional coordinates):
1 Si 0.000 0.000 0.500
2 Si 0.000 0.500 0.000
3 Si 0.500 0.000 0.000
4 Bi 0.500 0.500 0.500
5 Pt 0.000 0.000 0.000

Values from the calculation:
energy relative to the elements, uncorrected	0.389	eV per atom
excess energy over the best structure of this formula in the dataset	0	meV per atom

=====

No. 3
Y3GeO6 | GGA-PBE | relaxed

abc: 7.146 7.146 5.527
angles: 90.00 90.00 102.55
Atoms (fractional coordinates):
1 Y 0.101 0.899 0.500
2 Y 0.200 0.412 0.552
3 Y 0.412 0.200 0.052
4 Y 0.588 0.800 0.552
5 Y 0.800 0.588 0.052
6 Y 0.899 0.101 0.000
7 Ge 0.326 0.674 0.070
8 Ge 0.674 0.326 0.570
9 O 0.093 0.604 0.237
10 O 0.146 0.176 0.276
11 O 0.176 0.146 0.776
12 O 0.273 0.727 0.727
13 O 0.396 0.907 0.237
14 O 0.474 0.526 0.297
15 O 0.526 0.474 0.797
16 O 0.604 0.093 0.737
17 O 0.727 0.273 0.227
18 O 0.824 0.854 0.276
19 O 0.854 0.824 0.776
20 O 0.907 0.396 0.737

Values from the calculation:
energy relative to the elements, uncorrected	-2.958	eV per atom

=====

No. 4
Mg2BeIr2 | GGA-PBE | relaxed

abc: 6.016 6.016 4.251
angles: 90.00 90.00 90.00
Atoms (fractional coordinates):
1 Mg 0.166 0.334 0.000
2 Mg 0.334 0.834 0.000
3 Mg 0.666 0.166 0.000
4 Mg 0.834 0.666 0.000
5 Be 0.000 0.000 0.500
6 Be 0.500 0.500 0.500
7 Ir 0.149 0.649 0.500
8 Ir 0.351 0.149 0.500
9 Ir 0.649 0.851 0.500
10 Ir 0.851 0.351 0.500

Values from the calculation:
formation energy from the elements	-0.373	eV per atom

=====

Number 1: N(E_F) 2.95 states/eV/f.u.. Number 2: N(E_F) 2.38 states/eV/f.u.. Number 3: N(E_F) 1.74 states/eV/f.u.. Number 4: N(E_F) 4.58 states/eV/f.u..